# 1
Entry from Alexandria via LeMat-Bulk: a relaxed structure of AlTlCu2S4 (GGA-PBE).

## Properties
DOS(E_F)   1.53 states/eV per cell
Space-group type   I-42m, No. 121
Energy relative to the elements, uncorrected   -4.07 eV/f.u.
E   -4.3597 eV/atom

Cell and atoms, written as POSCAR:
```
AlTlCu2S4
1.0
-2.772 2.772 5.396
2.772 -2.772 5.396
2.772 2.772 -5.396
Al Tl Cu S
1 1 2 4
direct
0.000 0.000 0.000 Al
0.500 0.500 0.000 Tl
0.250 0.750 0.500 Cu
0.750 0.250 0.500 Cu
0.088 0.640 0.000 S
0.360 0.360 0.448 S
0.640 0.088 0.000 S
0.912 0.912 0.552 S
```



# 2
Entry from Alexandria via LeMat-Bulk: a relaxed structure of KNb2Zn (GGA-PBE).

## Properties
Calculated formation energy   123.2 kJ per mole of atoms
DOS(E_F)   10.22 states/eV per cell
Space-group type   I4_1/amd, No. 141
E   -4.3507 eV/atom

Cell and atoms, written as POSCAR:
```
KNb2Zn
1.0
-2.412 2.412 10.297
2.412 -2.412 10.297
2.412 2.412 -10.297
K Nb Zn
2 4 2
direct
0.375 0.625 0.750 K
0.625 0.375 0.250 K
0.000 0.000 0.000 Nb
0.000 0.000 0.500 Nb
0.000 0.500 0.000 Nb
0.500 0.000 0.500 Nb
0.125 0.875 0.250 Zn
0.875 0.125 0.750 Zn
```